First-principles (PBE-GGA) data for an optimized crystal structure of Sc4IrOs, as listed in Alexandria via LeMat-Bulk.

Cell lengths 5.9158, 7.1304, 7.3517 Å; angles 114.50, 108.52, 100.06 degrees
Last column: nearest neighbours and their distance in Å.
Fractional positions:
Sc  0.3563  0.9509  0.6453  2 Os 2.74-2.76, 2 Ir 2.78-2.82
Sc  0.6366  0.3669  0.1223  2 Os 2.67-2.75, 2 Ir 2.72-2.85
Sc  0.0142  0.2445  0.8777  2 Os 2.67-2.75, 2 Ir 2.72-2.85
Sc  0.3634  0.6331  0.8777  2 Os 2.67-2.75, 2 Ir 2.72-2.85
Sc  0.6437  0.0491  0.3547  2 Os 2.74-2.76, 2 Ir 2.78-2.82
Sc  0.7890  0.6944  0.6453  2 Os 2.74-2.76, 2 Ir 2.78-2.82
Sc  0.2110  0.3056  0.3547  2 Os 2.74-2.76, 2 Ir 2.78-2.82
Sc  0.9858  0.7555  0.1223  2 Os 2.67-2.75, 2 Ir 2.72-2.85
Ir  0.3862  0.6362  0.2725  8 Sc 2.72-2.85
Ir  0.6138  0.3638  0.7275  8 Sc 2.72-2.85
Os  0.7512  0.0012  0.0024  8 Sc 2.67-2.76, 2 Os 2.96
Os  0.2488  0.9988  0.9976  8 Sc 2.67-2.76, 2 Os 2.96

Results
The energy above the most stable polymorph in this dataset comes out at 0 meV/atom. The calculation puts the density of states at the Fermi level at 9.01 states/eV/cell. The energy of formation from the pure elements comes out at -561 meV per atom.